Record 1
Below is a relaxed Rb2Zn2InH6 crystal, with properties calculated at the PBE level.

extended XYZ file:
```
11
Lattice="5.334 -2.889 0.000 5.334 2.889 0.000 -3.879 0.000 6.477" Properties=species:S:1:pos:R:3 pbc="T T T"
Rb 1.501 0.000 1.307
Rb 5.288 0.000 5.170
Zn 1.790 0.000 5.191
Zn 4.998 0.000 1.286
In -1.940 0.000 3.238
H 4.155 1.418 1.307
H 0.393 0.000 4.292
H 2.634 1.418 5.170
H 4.155 -1.418 1.307
H 6.396 0.000 2.185
H 2.634 -1.418 5.170
```

Properties
Symmetry: C2/m
N(E_F) in states/eV/atom: 0.16
ρ in g/cm3: 3.516
Calculated total energy in eV/atom: -2.477
Magnetization in μB/f.u.: 0.000


Record 2
Below is a relaxed Er3Bi crystal, with properties calculated at the PBE level.

extended XYZ file:
```
8
Lattice="6.612 0.000 0.000 0.000 4.026 0.000 -1.759 0.000 9.168" Properties=species:S:1:pos:R:3 pbc="T T T"
Er -0.061 1.007 3.404
Er -0.071 1.007 8.303
Er 1.564 3.020 5.789
Er 3.288 1.007 3.380
Er 4.924 3.020 0.866
Er 4.913 3.020 5.765
Bi 1.609 3.020 1.496
Bi 3.244 1.007 7.672
```

Properties
Symmetry: P2_1/m
N(E_F) in states/eV/atom: 1.13
ρ in g/cm3: 9.672
Magnetization in μB/f.u.: 0.000
DFT formation energy in eV/atom: -0.326


Record 3
Below is a relaxed LaTaOs2 crystal, with properties calculated at the PBE level.

extended XYZ file:
```
4
Lattice="1.646 -2.463 0.000 1.646 2.463 0.000 0.000 0.000 9.084" Properties=species:S:1:pos:R:3 pbc="T T T"
La 0.000 0.000 0.000
Ta 0.000 0.000 4.542
Os 1.646 0.000 2.501
Os 1.646 0.000 6.583
```

Properties
Symmetry: Cmmm
N(E_F) in states/eV/atom: 0.80
ρ in g/cm3: 15.793
Magnetization in μB/f.u.: 0.000
DFT formation energy in eV/atom: 0.245


Record 4
Below is a relaxed Ba4PPdI2 crystal, with properties calculated at the PBE level.

extended XYZ file:
```
8
Lattice="8.251 0.000 0.000 0.000 4.714 0.000 -2.562 0.000 8.505" Properties=species:S:1:pos:R:3 pbc="T T T"
Ba 1.437 0.000 1.657
Ba 0.094 2.357 6.757
Ba 5.595 2.357 1.748
Ba 4.252 0.000 6.849
P 0.000 2.357 0.000
Pd 4.126 0.000 0.000
I -1.281 0.000 4.253
I 2.844 2.357 4.253
```

Properties
Symmetry: P2/m
ΔE_f (raw) in eV per atom: -1.1889
N(E_F) in states/eV/atom: 0.42
ρ in g/cm3: 4.720
Magnetization in μB/f.u.: 0.000


Record 5
Below is a relaxed PbBr5 crystal, with properties calculated at the PBE level.

extended XYZ file:
```
6
Lattice="5.492 0.000 0.000 -2.746 4.756 0.000 0.000 0.000 7.058" Properties=species:S:1:pos:R:3 pbc="T T T"
Pb 0.000 0.000 0.000
Br -1.858 3.219 3.529
Br 0.888 1.537 3.529
Br 0.000 3.171 0.000
Br 2.746 1.585 0.000
Br 3.717 0.000 3.529
```

Properties
Symmetry: P-62m
ΔE_f (raw) in eV per atom: -0.0394
N(E_F) in states/eV/atom: 0.93
Relative energy among the computed polymorphs in meV/atom: 308
ρ in g/cm3: 5.465
Magnetization in μB/f.u.: 0.001


Record 6
Below is a relaxed Cs4NpI7 crystal, with properties calculated at the PBE level.

extended XYZ file:
```
12
Lattice="9.726 -3.120 0.000 9.726 3.120 0.000 -3.472 0.000 12.459" Properties=species:S:1:pos:R:3 pbc="T T T"
Cs -0.447 0.000 2.552
Cs 2.035 0.000 10.225
Cs 13.946 0.000 2.234
Cs 16.428 0.000 9.908
Np 7.990 0.000 6.230
I -1.736 0.000 6.230
I 2.725 0.000 0.508
I 5.303 0.000 7.787
I 6.608 0.000 3.449
I 9.373 0.000 9.011
I 10.678 0.000 4.672
I 13.256 0.000 11.951
```

Properties
Symmetry: C2/m
ΔE_f (raw) in eV per atom: -1.3133
N(E_F) in states/eV/atom: 0.53
ρ in g/cm3: 3.639
Magnetization in μB/f.u.: 4.000


- Which of these has the highest ρ?
  LaTaOs2